Here is a relaxed structure of ScSiNi2Ir from the Alexandria database. Energies are from PBE-GGA.

Summary:
**Polymorph energy (0 for the lowest one)**: 89 meV per atom
**Formation energy (no corrections)**: 1.313 eV/atom
**SG**: P4/mmm, No. 123

Cell and atoms, written as POSCAR:
```
ScSiNi2Ir
1.0
-3.709 -1.120 1.662
1.535 -4.468 0.414
1.468 0.862 3.857
Ni Si Sc Ir
2 1 1 1
direct
0.500 0.000 0.000
0.000 0.000 0.500
0.000 0.500 0.000
0.000 0.000 0.000
0.500 0.500 0.500
```



Here is a relaxed structure of ScSiNi2Ir from the Alexandria database. Energies are from PBE-GGA.

Summary:
**Polymorph energy (0 for the lowest one)**: 0 meV per atom
**Formation energy (no corrections)**: 1.224 eV/atom
**SG**: P4/mmm, No. 123

Cell and atoms, written as POSCAR:
```
ScSiNi2Ir
1.0
-3.685 1.957 1.138
-0.998 -3.621 2.996
2.078 2.061 3.183
Sc Ni Si Ir
1 2 1 1
direct
0.000 0.000 0.000
0.000 0.000 0.500
0.500 0.000 0.000
0.500 0.500 0.500
0.000 0.500 0.000
```



Here is a relaxed structure of Sc2Si4NiIr3 from the Alexandria database. Energies are from PBE-GGA.

Summary:
**Formation energy (no corrections)**: -0.890 eV/atom
**SG**: P-4m2, No. 115

Cell and atoms, written as POSCAR:
```
Sc2Si4NiIr3
1.0
3.908 0.000 0.000
0.000 3.908 0.000
0.000 0.000 10.244
Ni Ir Sc Si
1 3 2 4
direct
0.500 0.500 0.500
0.500 0.000 0.863
0.000 0.000 0.500
0.000 0.500 0.137
0.000 0.500 0.745
0.500 0.000 0.255
0.500 0.000 0.633
0.000 0.500 0.367
0.500 0.500 0.000
0.000 0.000 0.000
```



Here is a relaxed structure of ScNiSnIr from the Alexandria database. Energies are from PBE-GGA.

Summary:
**Formation energy from the elements**: -2.386 eV/f.u.
**SG**: F-43m, No. 216

Cell and atoms, written as POSCAR:
```
ScNiSnIr
1.0
-4.406 -0.467 -0.929
-2.975 -0.564 3.365
-2.897 3.319 1.041
Sn Ir Sc Ni
1 1 1 1
direct
0.250 0.250 0.250
0.000 0.000 0.000
0.750 0.750 0.750
0.500 0.500 0.500
```



Here is a relaxed structure of ThScNiIr from the Alexandria database. Energies are from PBE-GGA.

Summary:
**Polymorph energy (0 for the lowest one)**: 0 meV per atom
**Formation energy from the elements**: -2.658 eV/f.u.
**SG**: Cm, No. 8

Cell and atoms, written as POSCAR:
```
ThScNiIr
1.0
4.466 0.000 0.000
-2.233 3.872 -0.006
0.000 -2.582 4.690
Ni Sc Th Ir
1 1 1 1
direct
0.403 0.806 0.851
0.111 0.222 0.975
0.613 0.226 0.481
0.840 0.679 0.160
```



Here is a relaxed structure of ThScNiIr from the Alexandria database. Energies are from PBE-GGA.

Summary:
**Polymorph energy (0 for the lowest one)**: 68 meV per atom
**Formation energy from the elements**: -2.386 eV/f.u.
**SG**: F-43m, No. 216

Cell and atoms, written as POSCAR:
```
ThScNiIr
1.0
-0.576 0.566 -4.753
-1.737 -3.622 -2.666
-4.433 0.296 -1.873
Ir Ni Th Sc
1 1 1 1
direct
0.750 0.750 0.750
0.250 0.250 0.250
0.000 0.000 0.000
0.500 0.500 0.500
```



Here is a relaxed structure of ScTiNi2Ir from the Alexandria database. Energies are from PBE-GGA.

Summary:
**Formation energy from the elements**: 4.473 eV/f.u.
**SG**: P4/mmm, No. 123

Cell and atoms, written as POSCAR:
```
ScTiNi2Ir
1.0
4.194 0.000 0.000
0.000 4.722 0.000
0.000 0.000 4.194
Ni Sc Ti Ir
2 1 1 1
direct
0.500 0.000 0.000
0.000 0.000 0.500
0.000 0.500 0.000
0.000 0.000 0.000
0.500 0.500 0.500
```



Here is a relaxed structure of TmScNiIr from the Alexandria database. Energies are from PBE-GGA.

Summary:
**Formation energy from the elements**: -2.975 eV/f.u.
**SG**: F-43m, No. 216

Cell and atoms, written as POSCAR:
```
TmScNiIr
1.0
-2.973 0.071 -3.572
-4.493 -0.964 0.697
-3.178 3.378 -0.312
Sc Tm Ir Ni
1 1 1 1
direct
0.500 0.500 0.500
0.000 0.000 0.000
0.750 0.750 0.750
0.250 0.250 0.250
```



What did we get for final energy? Answer: -25.61 -26.06 -75.62 -27.36 -31.05 -30.78 -30.18 -28.42 eV for the cell shown, in the order shown.
What did we get for DOS(E_F)? Answer: 4.14 3.46 4.86 2.06 2.41 4.38 2.92 1.77 states/eV/f.u., in the order shown.
What did we get for total moment? Answer: 0.00 0.00 0.00 0.00 0.00 0.00 0.00 0.00 μB per formula unit, in the order shown.